Entry from Alexandria via LeMat-Bulk: a relaxed Cu2SnPd2 crystal (GGA-PBE).

Results
polymorph energy (0 for the lowest one)	320	meV per atom
energy of formation	0.0615	eV/atom
calculated density	9.000	g/cm3

Cell: 6.2642 6.2642 6.2642 Å, 143.96 143.96 51.89°
Element x y z (fractional)
Cu 0.1028 0.1028 0.0000
Cu 0.8972 0.8972 0.0000
Sn 0.5000 0.5000 0.0000
Pd 0.2500 0.7500 0.5000
Pd 0.7500 0.2500 0.5000



Entry from Alexandria via LeMat-Bulk: a relaxed Cs2Ce2PdSe6 crystal (GGA-PBE).

Results
formation energy from raw total energies	-1.24	eV per atom
calculated density	4.930	g/cm3

Cell: 7.1072 7.1072 8.9060 Å, 97.62 97.62 119.10°
Element x y z (fractional)
Cs 0.1647 0.8353 0.0000
Cs 0.8353 0.1647 0.0000
Ce 0.3279 0.6721 0.5000
Ce 0.6721 0.3279 0.5000
Pd 0.0000 0.0000 0.5000
Se 0.0711 0.3932 0.6857
Se 0.2428 0.2428 0.3352
Se 0.3932 0.0711 0.6857
Se 0.6068 0.9289 0.3143
Se 0.7572 0.7572 0.6648
Se 0.9289 0.6068 0.3143



Entry from Alexandria via LeMat-Bulk: a relaxed BaLuMg2 crystal (GGA-PBE).

Results
polymorph energy (0 for the lowest one)	75	meV per atom
energy of formation	0.0779	eV/atom
calculated density	4.668	g/cm3

Cell: 5.7595 5.7595 3.8704 Å, 90.00 90.00 90.00°
Element x y z (fractional)
Ba 0.0000 0.0000 0.0000
Lu 0.5000 0.5000 0.0000
Mg 0.0000 0.5000 0.5000
Mg 0.5000 0.0000 0.5000



Entry from Alexandria via LeMat-Bulk: a relaxed YV2Bi2 crystal (GGA-PBE).

Results
energy of formation	0.0214	eV/atom
calculated density	8.806	g/cm3

Cell: 8.1749 8.1749 8.1749 Å, 152.69 152.69 39.00°
Element x y z (fractional)
Y 0.0000 0.0000 0.0000
V 0.2500 0.7500 0.5000
V 0.7500 0.2500 0.5000
Bi 0.3831 0.3831 0.0000
Bi 0.6169 0.6169 0.0000



Entry from Alexandria via LeMat-Bulk: a relaxed TlAgHPb2 crystal (GGA-PBE).

Results
polymorph energy (0 for the lowest one)	0	meV per atom
calculated density	10.319	g/cm3

Cell: 5.6639 5.6639 3.6502 Å, 90.00 90.00 90.00°
Element x y z (fractional)
Tl 0.0000 0.0000 0.0000
Ag 0.5000 0.5000 0.0000
H 0.5000 0.5000 0.5000
Pb 0.0000 0.5000 0.5000
Pb 0.5000 0.0000 0.5000



Entry from Alexandria via LeMat-Bulk: a relaxed LaCeGaRh crystal (GGA-PBE).

Results
polymorph energy (0 for the lowest one)	0	meV per atom
energy of formation	-0.6400	eV/atom
calculated density	7.576	g/cm3

Cell: 3.8939 6.2927 6.2927 Å, 39.94 90.00 90.00°
Element x y z (fractional)
La 0.0000 0.0000 0.0000
Ce 0.5000 0.2790 0.2790
Ga 0.5000 0.5895 0.5895
Rh 0.0000 0.7423 0.7423



Entry from Alexandria via LeMat-Bulk: a relaxed CeErPd2 crystal (GGA-PBE).

Results
polymorph energy (0 for the lowest one)	64	meV per atom
energy of formation	-0.7470	eV/atom
calculated density	9.770	g/cm3

Cell: 5.0005 5.0005 5.0005 Å, 60.00 60.00 60.00°
Element x y z (fractional)
Ce 0.0000 0.0000 0.0000
Er 0.5000 0.5000 0.5000
Pd 0.2500 0.2500 0.2500
Pd 0.7500 0.7500 0.7500



Entry from Alexandria via LeMat-Bulk: a relaxed Cu2SbAs crystal (GGA-PBE).

Results
polymorph energy (0 for the lowest one)	190	meV per atom
formation energy from raw total energies	0.26	eV per atom
calculated density	7.614	g/cm3

Cell: 3.0852 3.0852 7.4187 Å, 90.00 90.00 90.00°
Element x y z (fractional)
Cu 0.0000 0.0000 0.2138
Cu 0.0000 0.0000 0.7862
Sb 0.5000 0.5000 0.5000
As 0.5000 0.5000 0.0000



> The lowest calculated density belongs to which entry?

BaLuMg2



> Which of these has the highest calculated density?

TlAgHPb2



> Number 4 is which compound?

YV2Bi2